Record 1
Here is an optimized crystal structure of CePr2Mg6 from Alexandria via LeMat-Bulk. Energies are from PBE-GGA.

Cell and atoms, written as POSCAR:
```
CePr2Mg6
1.0
4.613 -7.989 0.000
4.613 7.989 0.000
0.000 0.000 3.307
Mg Ce Pr
6 1 2
Direct
0.332 0.332 0.500
0.332 0.000 0.500
0.000 0.668 0.500
0.668 0.668 0.500
0.668 0.000 0.500
0.000 0.332 0.500
0.000 0.000 0.000
0.667 0.333 0.000
0.333 0.667 0.000
```

- DOS(E_F) (states/eV per cell) = 12.492
- E_form (eV/atom) = -0.069
- calculated density (g/cm3) = 3.87
- calculated volume (Å³ per atom) = 27.08
- total DFT energy (no corrections) (eV/atom) = -2.85


Record 2
Here is an optimized crystal structure of Tb3Hg7 from Alexandria via LeMat-Bulk. Energies are from PBE-GGA.

Cell and atoms, written as POSCAR:
```
Tb3Hg7
1.0
4.924 0.000 0.000
0.000 6.425 -0.233
-2.462 -2.411 7.898
Hg Tb
7 3
Direct
0.401 0.655 0.803
0.804 0.857 0.607
0.599 0.345 0.197
0.000 0.500 0.000
0.395 0.147 0.790
0.196 0.143 0.393
0.605 0.853 0.210
0.799 0.349 0.598
0.201 0.651 0.402
0.000 0.000 0.000
```

- DOS(E_F) (states/eV per cell) = 6.752
- E_form (eV/atom) = -0.365
- calculated density (g/cm3) = 12.64
- calculated volume (Å³ per atom) = 24.71
- total DFT energy (no corrections) (eV/atom) = -1.97


Record 3
Here is an optimized crystal structure of PrSm2PuSe4 from Alexandria via LeMat-Bulk. Energies are from PBE-GGA.

Cell and atoms, written as POSCAR:
```
PrSm2PuSe4
1.0
-1.696 -2.111 -3.171
5.198 -5.052 0.583
-5.610 -1.846 4.231
Se Sm Pu Pr
4 2 1 1
Direct
0.000 0.746 0.251
0.500 0.256 0.254
0.000 0.254 0.749
0.500 0.744 0.746
0.000 0.500 0.500
0.500 0.000 0.500
0.500 0.500 0.000
0.000 0.000 0.000
```

- DOS(E_F) (states/eV per cell) = 10.208
- calculated density (g/cm3) = 7.99
- calculated volume (Å³ per atom) = 26.01
- total DFT energy (no corrections) (eV/atom) = -7.08
- formation energy (no corrections) (meV per atom) = -1767